(1)
Density functional theory data (PBE) for a geometry-optimized TlAgTePbSe2 structure.

Calculated values
VASP energy   -3.310 eV/atom
Crystal system   orthorhombic

```
data_TlAgTePbSe2
_chemical_formula_sum 'Tl4 Ag4 Te4 Pb4 Se8'
_cell_length_a 4.033
_cell_length_b 14.661
_cell_length_c 11.622
_cell_angle_alpha 90.00
_cell_angle_beta 90.00
_cell_angle_gamma 90.00
_symmetry_space_group_name_H-M 'C m c m'
_symmetry_Int_Tables_number 63
_symmetry_space_group_name_Hall '-C 2c 2'
loop_
_atom_site_label
_atom_site_type_symbol
_atom_site_fract_x
_atom_site_fract_y
_atom_site_fract_z
_atom_site_occupancy
Tl1 Tl 0.000 0.215 0.250 1
Ag1 Ag 0.000 0.478 0.750 1
Te1 Te 0.000 0.110 0.750 1
Pb1 Pb 0.000 0.000 0.000 1
Se1 Se 0.000 0.358 0.574 1
```

(2)
Density functional theory data (PBE) for a geometry-optimized YAgTe2PbSe structure.

Calculated values
VASP energy   -4.599 eV/atom
Crystal system   orthorhombic

```
data_YAgTe2PbSe
_chemical_formula_sum 'Y4 Ag4 Te8 Pb4 Se4'
_cell_length_a 4.300
_cell_length_b 14.737
_cell_length_c 10.666
_cell_angle_alpha 90.00
_cell_angle_beta 90.00
_cell_angle_gamma 90.00
_symmetry_space_group_name_H-M 'C m c m'
_symmetry_Int_Tables_number 63
_symmetry_space_group_name_Hall '-C 2c 2'
loop_
_atom_site_label
_atom_site_type_symbol
_atom_site_fract_x
_atom_site_fract_y
_atom_site_fract_z
_atom_site_occupancy
Y1 Y 0.000 0.000 0.000 1
Ag1 Ag 0.000 0.475 0.250 1
Te1 Te 0.000 0.351 0.052 1
Pb1 Pb 0.000 0.255 0.750 1
Se1 Se 0.000 0.083 0.250 1
```

Which value of VASP energy does entry 1 give? -3.310 eV/atom

Which value of VASP energy does entry 2 give? -4.599 eV/atom